Ti2VBiAu (GGA-PBE, relaxed); magnetization = 2.3 Bohr magnetons per cell; formation energy from the elements = 1.2952 eV per atom
1.0
4.8780 0.0000 0.0000
0.0000 4.8780 0.0000
0.0000 0.0000 5.5449
Ti V Bi Au
2 1 1 1
Cartesian
0.0000 2.4390 0.0000
2.4390 0.0000 0.0000
0.0000 0.0000 2.7725
2.4390 2.4390 2.7725
2.4390 2.4390 0.0000